This record from the Alexandria database describes AgMo2Pb at its PBEsol-relaxed geometry. The functional is SCAN.

Lattice parameters (Å, degrees): 3.2514 3.2514 6.9750 90.00 90.00 90.00
Atoms (fractional coordinates):
Ag  0.0000  0.0000  0.0000
Mo  0.0000  0.0000  0.4227
Mo  0.5000  0.5000  0.2493
Pb  0.5000  0.5000  0.7156

Properties
- Energy of formation: 0.4668 eV per atom
- Total moment: 0.00 μB/atom
- ρ: 11.42 g cm⁻³
- V: 74 Å³ per cell